VASP calculation (PBE) on a relaxed LiLaSe crystal.

Unit cell a=4.2252 b=4.2252 c=4.3076 alpha=90.00 beta=90.00 gamma=120.00
Last column: nearest neighbours and their distance in Å.
Sites, in units of the cell vectors:
Li (0.0000, 0.0000, 0.0000)  3 Se 2.44
La (0.3333, 0.6667, 0.5000)  6 Li 3.25, 6 Se 3.25
Se (0.6667, 0.3333, 0.0000)  3 Li 2.44

Calculated values
For the total magnetization, the calculation gives 0.0 μB per cell. For the energy above the most stable polymorph in this dataset, the calculation gives 0.0 kJ per mole of atoms. Its space group is P-6m2 (187).

---

VASP calculation (PBE) on a relaxed LiLaSe crystal.

Unit cell a=6.0240 b=4.2940 c=6.6595 alpha=90.00 beta=115.30 gamma=90.00
Last column: nearest neighbours and their distance in Å.
Sites, in units of the cell vectors:
Li (0.1311, 0.2500, 0.1094)  3 Se 2.52-2.60, 2 Li 2.69
Li (0.8689, 0.7500, 0.8906)  3 Se 2.52-2.60, 2 Li 2.69
La (0.3448, 0.2500, 0.6840)  4 Se 3.00-3.10
La (0.6552, 0.7500, 0.3160)  4 Se 3.00-3.10
Se (0.1526, 0.7500, 0.3136)  3 Li 2.52-2.60
Se (0.8474, 0.2500, 0.6864)  3 Li 2.52-2.60

Calculated values
For the total magnetization, the calculation gives 0.0 μB per cell. For the energy above the most stable polymorph in this dataset, the calculation gives 5.0 kJ per mole of atoms. Its space group is P2_1/m (11).

---

VASP calculation (PBE) on a relaxed LiLaSe3 crystal.

Unit cell a=4.8100 b=4.8100 c=4.8100 alpha=90.00 beta=90.00 gamma=90.00
Last column: nearest neighbours and their distance in Å.
Sites, in units of the cell vectors:
Li (0.0000, 0.0000, 0.0000)  6 Se 2.40
La (0.5000, 0.5000, 0.5000)  12 Se 3.40
Se (0.0000, 0.0000, 0.5000)  2 Li 2.40
Se (0.0000, 0.5000, 0.0000)  2 Li 2.40
Se (0.5000, 0.0000, 0.0000)  2 Li 2.40

Calculated values
For the total magnetization, the calculation gives 0.0 μB per cell. For the energy above the most stable polymorph in this dataset, the calculation gives 0.0 kJ per mole of atoms. Its space group is Pm-3m (221).

---

VASP calculation (PBE) on a relaxed LiLa4Se4 crystal.

Unit cell a=8.7589 b=8.7589 c=6.1564 alpha=90.00 beta=90.00 gamma=90.00
Last column: nearest neighbours and their distance in Å.
Sites, in units of the cell vectors:
Li (0.2500, 0.7500, 0.2500)  4 Se 2.48
Li (0.7500, 0.2500, 0.7500)  4 Se 2.48
La (0.0254, 0.2500, 0.0304)  1 Li 2.97, 6 Se 3.05-3.18
La (0.2500, 0.0254, 0.5304)  1 Li 2.97, 6 Se 3.05-3.18
La (0.2500, 0.4746, 0.5304)  1 Li 2.97, 6 Se 3.05-3.18
La (0.4746, 0.2500, 0.0304)  1 Li 2.97, 6 Se 3.05-3.18
La (0.5254, 0.7500, 0.9696)  1 Li 2.97, 6 Se 3.05-3.18
La (0.7500, 0.5254, 0.4696)  1 Li 2.97, 6 Se 3.05-3.18
La (0.7500, 0.9746, 0.4696)  1 Li 2.97, 6 Se 3.05-3.18
La (0.9746, 0.7500, 0.9696)  1 Li 2.97, 6 Se 3.05-3.18
Se (0.0164, 0.7500, 0.4781)  1 Li 2.48
Se (0.2500, 0.5164, 0.0219)  1 Li 2.48
Se (0.2500, 0.9836, 0.0219)  1 Li 2.48
Se (0.4836, 0.7500, 0.4781)  1 Li 2.48
Se (0.5164, 0.2500, 0.5219)  1 Li 2.48
Se (0.7500, 0.0164, 0.9781)  1 Li 2.48
Se (0.7500, 0.4836, 0.9781)  1 Li 2.48
Se (0.9836, 0.2500, 0.5219)  1 Li 2.48

Calculated values
For the total magnetization, the calculation gives 0.0 μB per cell. Its space group is P4_2/nmc (137).

---

VASP calculation (PBE) on a relaxed LiLa3Se crystal.

Unit cell a=5.7578 b=5.7578 c=5.7578 alpha=90.00 beta=90.00 gamma=90.00
Last column: nearest neighbours and their distance in Å.
Sites, in units of the cell vectors:
Li (0.0000, 0.0000, 0.0000)  12 La 4.07
La (0.0000, 0.5000, 0.5000)  2 Se 2.88
La (0.5000, 0.0000, 0.5000)  2 Se 2.88
La (0.5000, 0.5000, 0.0000)  2 Se 2.88
Se (0.5000, 0.5000, 0.5000)  6 La 2.88

Calculated values
For the total magnetization, the calculation gives 0.0 μB per cell. For the energy above the most stable polymorph in this dataset, the calculation gives 0.0 kJ per mole of atoms. Its space group is Pm-3m (221).

---

VASP calculation (PBE) on a relaxed Li2La2Se crystal.

Unit cell a=7.6813 b=7.6813 c=7.6813 alpha=147.03 beta=147.03 gamma=47.32
Last column: nearest neighbours and their distance in Å.
Sites, in units of the cell vectors:
Li (0.0792, 0.0792, 0.0000)  1 Li 2.23
Li (0.9208, 0.9208, 0.0000)  1 Li 2.23
La (0.2500, 0.7500, 0.5000)  4 La 3.08, 4 Li 3.24
La (0.7500, 0.2500, 0.5000)  4 La 3.08, 4 Li 3.24
Se (0.5000, 0.5000, 0.0000)  8 Li 3.28

Calculated values
For the total magnetization, the calculation gives 0.5 μB per cell. For the energy above the most stable polymorph in this dataset, the calculation gives 50.5 kJ per mole of atoms. Its space group is I4/mmm (139).

---

VASP calculation (PBE) on a relaxed LiLa4Se crystal.

Unit cell a=6.4858 b=6.4858 c=6.4858 alpha=60.00 beta=60.00 gamma=60.00
Last column: nearest neighbours and their distance in Å.
Sites, in units of the cell vectors:
Li (0.0000, 0.0000, 0.0000)  12 La 3.80, 4 Se 3.97
La (0.3757, 0.3757, 0.3757)  6 La 3.23-3.26
La (0.3757, 0.3757, 0.8729)  6 La 3.23-3.26
La (0.3757, 0.8729, 0.3757)  6 La 3.23-3.26
La (0.8729, 0.3757, 0.3757)  6 La 3.23-3.26
Se (0.7500, 0.7500, 0.7500)  12 La 3.80, 4 Li 3.97

Calculated values
For the total magnetization, the calculation gives 0.0 μB per cell. Its space group is F-43m (216).

---

VASP calculation (PBE) on a relaxed LiLaSe crystal.

Unit cell a=5.8626 b=5.8593 c=3.6507 alpha=71.90 beta=71.80 gamma=36.29
Last column: nearest neighbours and their distance in Å.
Sites, in units of the cell vectors:
Li (0.0000, 0.0000, 0.0000)  4 Se 2.74-2.75, 1 La 2.99
La (0.7158, 0.7158, 0.2842)  1 Li 2.99, 5 Se 3.20-3.30
Se (0.4114, 0.4114, 0.5886)  4 Li 2.74-2.75

Calculated values
For the total magnetization, the calculation gives 0.0 μB per cell. For the energy above the most stable polymorph in this dataset, the calculation gives 27.5 kJ per mole of atoms. Its space group is Fmm2 (42).

---

| no. | ΔE_f (raw) (eV/f.u.) |
| --- | --- |
| 1 | -3.64 |
| 2 | -3.48 |
| 3 | -4.85 |
| 4 | -14.90 |
| 5 | -2.36 |
| 6 | 0.29 |
| 7 | 0.94 |
| 8 | -2.78 |